# 1
Ac12Si3O5 after structural relaxation, computed with PBE-GGA.

The structure belongs to space group Ia-3d (No. 230); the cell edges are 16.862, 16.862 and 16.862 Å and the angles 90.00°, 90.00° and 90.00°. The asymmetric unit holds Ac at (0.035, 0.055, 0.651), Si at (0.000, 0.250, 0.125), O at (0.000, 0.000, 0.000) and O at (0.000, 0.250, 0.375).

The formation energy without anion corrections is -1.44 eV per atom. The total energy comes out at -5.9557 eV/atom. The value obtained for the calculated density is 8.0 g/cm³.

***

# 2
Ac2SiO5 after structural relaxation, computed with PBE-GGA.

The structure belongs to space group Pnma (No. 62); the cell edges are 11.088, 4.126 and 11.116 Å and the angles 90.00°, 90.00° and 90.00°. The asymmetric unit holds Ac at (0.076, 0.250, 0.207), Ac at (0.142, 0.250, 0.558), Si at (0.202, 0.250, 0.861), O at (0.016, 0.750, 0.598), O at (0.061, 0.250, 0.814), O at (0.201, 0.750, 0.245), O at (0.221, 0.250, 0.010) and O at (0.230, 0.750, 0.862).

The formation energy without anion corrections is -3.16 eV per atom. The total energy comes out at -7.9605 eV/atom. The value obtained for the calculated density is 7.3 g/cm³.

***

# 3
AcSiO after structural relaxation, computed with PBE-GGA.

The structure belongs to space group Cmce (No. 64); the cell edges are 5.248, 11.986 and 7.906 Å and the angles 90.00°, 90.00° and 90.00°. The asymmetric unit holds Ac at (0.000, 0.161, 0.080), Si at (0.000, 0.067, 0.624) and O at (0.250, 0.001, 0.250).

The formation energy without anion corrections is -1.23 eV per atom. The total energy comes out at -6.0559 eV/atom. The value obtained for the calculated density is 7.2 g/cm³.

***

# 4
Ac6Si3O after structural relaxation, computed with PBE-GGA.

The structure belongs to space group P2_1/c (No. 14); the cell edges are 6.996, 8.333 and 12.832 Å and the angles 90.00°, 122.39° and 90.00°. The asymmetric unit holds Ac at (0.080, 0.202, 0.436), Ac at (0.267, 0.668, 0.437), Ac at (0.380, 0.045, 0.237), Si at (0.176, 0.114, 0.744), Si at (0.500, 0.000, 0.500) and O at (0.000, 0.000, 0.000).

The formation energy without anion corrections is -0.81 eV per atom. The total energy comes out at -5.3948 eV/atom. The value obtained for the calculated density is 7.7 g/cm³.

***

# 5
Ac3SiO after structural relaxation, computed with PBE-GGA.

The structure belongs to space group Pm-3m (No. 221); the cell edges are 5.189, 5.189 and 5.189 Å and the angles 90.00°, 90.00° and 90.00°. The asymmetric unit holds Ac at (0.000, 0.000, 0.500), Si at (0.500, 0.500, 0.500) and O at (0.000, 0.000, 0.000).

The formation energy without anion corrections is -1.10 eV per atom. The total energy comes out at -5.6409 eV/atom. The value obtained for the calculated density is 8.6 g/cm³.

***

# 6
Ac3SiO after structural relaxation, computed with PBE-GGA.

The structure belongs to space group P2_1/m (No. 11); the cell edges are 8.260, 4.250 and 8.664 Å and the angles 90.00°, 103.78° and 90.00°. The asymmetric unit holds Ac at (0.060, 0.250, 0.350), Ac at (0.246, 0.250, 0.973), Ac at (0.396, 0.750, 0.652), Si at (0.307, 0.750, 0.272) and O at (0.167, 0.250, 0.659).

The formation energy without anion corrections is -1.18 eV per atom. The total energy comes out at -5.7260 eV/atom. The value obtained for the calculated density is 8.2 g/cm³.

***

# 7
Ac6SiO12 after structural relaxation, computed with PBE-GGA.

The structure belongs to space group R-3 (No. 148, hexagonal axes); the cell edges are 10.6690, 10.6690 and 10.0874 Å and the angles 90.00°, 90.00° and 120.00°. The asymmetric unit holds Ac at (0.0493, 0.7969, 0.1555), Si at (0.0000, 0.0000, 0.5000), O at (0.0373, 0.8773, 0.4005) and O at (0.0403, 0.8104, 0.9073).

The formation energy without anion corrections is -2.96 eV per atom. The total energy comes out at -7.6725 eV/atom. The value obtained for the calculated density is 7.9 g/cm³.

***

# 8
Ac4Si2O after structural relaxation, computed with PBE-GGA.

The structure belongs to space group P2_1/m (No. 11); the cell edges are 7.223, 7.387 and 8.893 Å and the angles 90.00°, 107.94° and 90.00°. The asymmetric unit holds Ac at (0.007, 0.001, 0.246), Ac at (0.430, 0.250, 0.594), Ac at (0.446, 0.250, 0.125), Si at (0.218, 0.750, 0.552), Si at (0.232, 0.750, 0.060) and O at (0.239, 0.250, 0.309).

The formation energy without anion corrections is -1.06 eV per atom. The total energy comes out at -5.6624 eV/atom. The value obtained for the calculated density is 7.2 g/cm³.

***

# 9
Ac2SiSnO6 after structural relaxation, computed with PBE-GGA.

The structure belongs to space group P4mm (No. 99); the cell edges are 5.581, 5.581 and 5.040 Å and the angles 90.00°, 90.00° and 90.00°. The asymmetric unit holds Ac at (0.000, 0.500, 0.000), Si at (0.000, 0.000, 0.584), Sn at (0.500, 0.500, 0.565), O at (0.000, 0.000, 0.251), O at (0.214, 0.214, 0.693) and O at (0.500, 0.500, 0.987).

The formation energy without anion corrections is -2.62 eV per atom. The total energy comes out at -7.3544 eV/atom. The value obtained for the calculated density is 7.4 g/cm³.

***

# 10
Sr2AcSiO6 after structural relaxation, computed with PBE-GGA.

The structure belongs to space group P4mm (No. 99); the cell edges are 5.571, 5.571 and 5.262 Å and the angles 90.00°, 90.00° and 90.00°. The asymmetric unit holds Sr at (0.000, 0.500, 0.000), Ac at (0.000, 0.000, 0.536), Si at (0.500, 0.500, 0.580), O at (0.000, 0.000, 0.081), O at (0.288, 0.288, 0.685) and O at (0.500, 0.500, 0.263).

The formation energy without anion corrections is -2.67 eV per atom. The total energy comes out at -6.9304 eV/atom. The value obtained for the calculated density is 5.4 g/cm³.

***

# 11
AcSi2TeO8 after structural relaxation, computed with PBE-GGA.

The structure belongs to space group R32 (No. 155, hexagonal axes); the cell edges are 4.8511, 4.8511 and 22.9470 Å and the angles 90.00°, 90.00° and 120.00°. The asymmetric unit holds Ac at (0.0000, 0.0000, 0.0000), Si at (0.0000, 0.0000, 0.2463), Te at (0.0000, 0.0000, 0.5000), O at (0.0000, 0.0000, 0.3170) and O at (0.0026, 0.3481, 0.8922).

The formation energy without anion corrections is -2.22 eV per atom. The total energy comes out at -7.0336 eV/atom. The value obtained for the calculated density is 5.7 g/cm³.

***

# 12
AcTlSi2O6 after structural relaxation, computed with PBE-GGA.

The structure belongs to space group C2/c (No. 15); the cell edges are 8.232, 12.312 and 7.638 Å and the angles 90.00°, 90.53° and 90.00°. The asymmetric unit holds Ac at (0.000, 0.151, 0.250), Tl at (0.000, 0.407, 0.750), Si at (0.151, 0.124, 0.752), O at (0.000, 0.139, 0.594), O at (0.213, 0.000, 0.253) and O at (0.220, 0.280, 0.248).

The formation energy without anion corrections is -2.61 eV per atom. The total energy comes out at -7.3173 eV/atom. The value obtained for the calculated density is 5.0 g/cm³.